A) # AlNi2F

A relaxed AlNi2F crystal (PBE with a Hubbard U, Alexandria via LeMat-Bulk).

Computed properties:
Symmetry ... I-42d
N(E_F) ... 0.83 states/eV/cell
Magnetization ... 3.97 μB per cell

Geometry as CIF:
```
data_AlNi2F
_symmetry_space_group_name_H-M 'P 1'
_symmetry_Int_Tables_number 1
_cell_length_a 6.483
_cell_length_b 6.483
_cell_length_c 5.228
_cell_angle_alpha 51.68
_cell_angle_beta 51.68
_cell_angle_gamma 90.00
loop_
_symmetry_equiv_pos_as_xyz
'x,y,z'
loop_
_atom_site_label
_atom_site_fract_x
_atom_site_fract_y
_atom_site_fract_z
_atom_site_occupancy
Ni1 0.875 0.831 0.750 1
Al1 0.000 0.000 0.000 1
Ni2 0.169 0.625 0.250 1
F1 0.500 0.500 0.000 1
F2 0.250 0.750 0.500 1
Ni3 0.581 0.125 0.250 1
Al2 0.750 0.250 0.500 1
Ni4 0.375 0.419 0.750 1
```

B) # AlNi2F

A relaxed AlNi2F crystal (PBE with a Hubbard U, Alexandria via LeMat-Bulk).

Computed properties:
Symmetry ... Fm-3m
N(E_F) ... 0.41 states/eV/cell
Magnetization ... 0.00 μB per cell

Geometry as CIF:
```
data_AlNi2F
_symmetry_space_group_name_H-M 'P 1'
_symmetry_Int_Tables_number 1
_cell_length_a 3.987
_cell_length_b 3.987
_cell_length_c 3.987
_cell_angle_alpha 60.00
_cell_angle_beta 60.00
_cell_angle_gamma 60.00
loop_
_symmetry_equiv_pos_as_xyz
'x,y,z'
loop_
_atom_site_label
_atom_site_fract_x
_atom_site_fract_y
_atom_site_fract_z
_atom_site_occupancy
Ni1 0.750 0.750 0.750 1
Al1 0.500 0.500 0.500 1
Ni2 0.250 0.250 0.250 1
F1 0.000 0.000 0.000 1
```

It is B) that is the least stable of them.

A) # AlNiF2

A relaxed AlNiF2 crystal (PBE with a Hubbard U, Alexandria via LeMat-Bulk).

Computed properties:
Symmetry ... Fm-3m
N(E_F) ... 0.93 states/eV/cell
Magnetization ... 0.00 μB per cell

Geometry as CIF:
```
data_AlNiF2
_symmetry_space_group_name_H-M 'P 1'
_symmetry_Int_Tables_number 1
_cell_length_a 3.985
_cell_length_b 3.985
_cell_length_c 3.985
_cell_angle_alpha 60.00
_cell_angle_beta 60.00
_cell_angle_gamma 60.00
loop_
_symmetry_equiv_pos_as_xyz
'x,y,z'
loop_
_atom_site_label
_atom_site_fract_x
_atom_site_fract_y
_atom_site_fract_z
_atom_site_occupancy
Al1 0.000 0.000 0.000 1
Ni1 0.500 0.500 0.500 1
F1 0.250 0.250 0.250 1
F2 0.750 0.750 0.750 1
```

B) # AlNiF2

A relaxed AlNiF2 crystal (PBE with a Hubbard U, Alexandria via LeMat-Bulk).

Computed properties:
Symmetry ... R-3m
N(E_F) ... 0.24 states/eV/cell
Magnetization ... 0.91 μB per cell

Geometry as CIF:
```
data_AlNiF2
_symmetry_space_group_name_H-M 'P 1'
_symmetry_Int_Tables_number 1
_cell_length_a 7.200
_cell_length_b 7.200
_cell_length_c 7.200
_cell_angle_alpha 22.92
_cell_angle_beta 22.92
_cell_angle_gamma 22.92
loop_
_symmetry_equiv_pos_as_xyz
'x,y,z'
loop_
_atom_site_label
_atom_site_fract_x
_atom_site_fract_y
_atom_site_fract_z
_atom_site_occupancy
Al1 0.000 0.000 0.000 1
F1 0.088 0.088 0.088 1
F2 0.912 0.912 0.912 1
Ni1 0.500 0.500 0.500 1
```

It is A) that is the least stable of them.

A) # AlNiF3

A relaxed AlNiF3 crystal (PBE with a Hubbard U, Alexandria via LeMat-Bulk).

Computed properties:
Symmetry ... Pm-3m
N(E_F) ... 5.13 states/eV/cell
Magnetization ... 0.81 μB per cell

Geometry as CIF:
```
data_AlNiF3
_symmetry_space_group_name_H-M 'P 1'
_symmetry_Int_Tables_number 1
_cell_length_a 3.832
_cell_length_b 3.832
_cell_length_c 3.832
_cell_angle_alpha 90.00
_cell_angle_beta 90.00
_cell_angle_gamma 90.00
loop_
_symmetry_equiv_pos_as_xyz
'x,y,z'
loop_
_atom_site_label
_atom_site_fract_x
_atom_site_fract_y
_atom_site_fract_z
_atom_site_occupancy
Ni1 0.500 0.500 0.500 1
Al1 0.000 0.000 0.000 1
F1 0.000 0.500 0.000 1
F2 0.000 0.000 0.500 1
F3 0.500 0.000 0.000 1
```

B) # AlNiF3

A relaxed AlNiF3 crystal (PBE with a Hubbard U, Alexandria via LeMat-Bulk).

Computed properties:
Symmetry ... Pm-3m
N(E_F) ... 0.00 states/eV/cell
Magnetization ... 2.00 μB per cell

Geometry as CIF:
```
data_AlNiF3
_symmetry_space_group_name_H-M 'P 1'
_symmetry_Int_Tables_number 1
_cell_length_a 4.070
_cell_length_b 4.070
_cell_length_c 4.070
_cell_angle_alpha 90.00
_cell_angle_beta 90.00
_cell_angle_gamma 90.00
loop_
_symmetry_equiv_pos_as_xyz
'x,y,z'
loop_
_atom_site_label
_atom_site_fract_x
_atom_site_fract_y
_atom_site_fract_z
_atom_site_occupancy
Al1 0.500 0.500 0.500 1
F1 0.000 0.000 0.500 1
F2 0.500 0.000 0.000 1
Ni1 0.000 0.000 0.000 1
F3 0.000 0.500 0.000 1
```

It is A) that is the least stable of them.

A) # Al3NiF

A relaxed Al3NiF crystal (PBE with a Hubbard U, Alexandria via LeMat-Bulk).

Computed properties:
Symmetry ... Pm-3m
N(E_F) ... 0.00 states/eV/cell
Magnetization ... 0.00 μB per cell

Geometry as CIF:
```
data_Al3NiF
_symmetry_space_group_name_H-M 'P 1'
_symmetry_Int_Tables_number 1
_cell_length_a 4.424
_cell_length_b 4.424
_cell_length_c 4.424
_cell_angle_alpha 90.00
_cell_angle_beta 90.00
_cell_angle_gamma 90.00
loop_
_symmetry_equiv_pos_as_xyz
'x,y,z'
loop_
_atom_site_label
_atom_site_fract_x
_atom_site_fract_y
_atom_site_fract_z
_atom_site_occupancy
Al1 0.000 0.000 0.500 1
Al2 0.000 0.500 0.000 1
Al3 0.500 0.000 0.000 1
F1 0.500 0.500 0.500 1
Ni1 0.000 0.000 0.000 1
```

B) # Al3NiF

A relaxed Al3NiF crystal (PBE with a Hubbard U, Alexandria via LeMat-Bulk).

Computed properties:
Symmetry ... Pm-3m
N(E_F) ... 3.90 states/eV/cell
Magnetization ... 1.08 μB per cell

Geometry as CIF:
```
data_Al3NiF
_symmetry_space_group_name_H-M 'P 1'
_symmetry_Int_Tables_number 1
_cell_length_a 4.254
_cell_length_b 4.254
_cell_length_c 4.254
_cell_angle_alpha 90.00
_cell_angle_beta 90.00
_cell_angle_gamma 90.00
loop_
_symmetry_equiv_pos_as_xyz
'x,y,z'
loop_
_atom_site_label
_atom_site_fract_x
_atom_site_fract_y
_atom_site_fract_z
_atom_site_occupancy
Ni1 0.500 0.500 0.500 1
Al1 0.000 0.000 0.500 1
F1 0.000 0.000 0.000 1
Al2 0.500 0.000 0.000 1
Al3 0.000 0.500 0.000 1
```

It is B) that is the least stable of them.